16
Lattice="4.133 2.386 6.807 -4.133 2.386 6.807 0.000 -4.773 6.807" Properties=species:S:1:pos:R:3 comment="PBE-GGA Sr4Pm3AgS8, relaxed" formation_energy_uncorrected_mev_per_atom=-1867.4 rho_g_cm3=4.74 sg="R-3m (166)" magnetic_moment_mub_per_fu=0.000 energy_ev_per_atom=-5.421 pbc="T T T"
Sr 0.000 0.000 0.000
Sr -2.067 -1.193 6.807
Sr -2.067 1.193 13.614
Sr 0.000 2.386 6.807
Pm -4.133 0.000 10.210
Pm -2.067 1.193 3.403
Pm 2.067 1.193 3.403
Ag 0.000 0.000 10.210
S -2.095 -1.209 11.821
S 0.000 0.000 5.016
S 0.000 -2.419 8.599
S -2.095 1.209 8.599
S 2.095 -1.209 11.821
S 0.000 2.419 11.821
S 0.000 0.000 15.404
S 2.095 1.209 8.599

3
Lattice="0.000 3.032 3.032 3.032 0.000 3.032 3.032 3.032 0.000" Properties=species:S:1:pos:R:3 comment="PBE-GGA MoPt2, relaxed" relative_energy_ev_per_fu=1.77 rho_g_cm3=14.48 sg="Fm-3m (225)" magnetic_moment_mub_per_fu=0.000 energy_ev_per_atom=-7.425 pbc="T T T"
Mo 0.000 0.000 0.000
Pt 1.516 1.516 1.516
Pt 4.548 4.548 4.548

80
Lattice="-6.148 6.148 6.148 6.148 -6.148 6.148 6.148 6.148 -6.148" Properties=species:S:1:pos:R:3 comment="PBE-GGA Tb3Cr5N12, relaxed" formation_energy_uncorrected_mev_per_atom=-648.3 rho_g_cm3=6.47 sg="Ia-3d (230)" magnetic_moment_mub_per_fu=3.002 energy_ev_per_atom=-8.744 pbc="T T T"
Tb 3.074 1.537 0.000
Tb 6.148 3.074 -1.537
Tb 1.537 0.000 3.074
Tb 7.685 0.000 3.074
Tb 0.000 3.074 1.537
Tb 3.074 -1.537 6.148
Tb 3.074 7.685 0.000
Tb 6.148 3.074 4.611
Tb -1.537 6.148 3.074
Tb 4.611 6.148 3.074
Tb 0.000 3.074 7.685
Tb 3.074 4.611 6.148
Cr 0.000 0.000 0.000
Cr 3.074 3.074 -3.074
Cr 3.074 -3.074 3.074
Cr 6.148 0.000 0.000
Cr 9.222 1.537 0.000
Cr 6.148 -3.074 4.611
Cr 4.611 6.148 -3.074
Cr 4.611 0.000 3.074
Cr 3.074 4.611 0.000
Cr 6.148 3.074 1.537
Cr -3.074 3.074 3.074
Cr 0.000 6.148 0.000
Cr 0.000 0.000 6.148
Cr 3.074 3.074 3.074
Cr 0.000 3.074 4.611
Cr 3.074 1.537 6.148
Cr 1.537 6.148 3.074
Cr 1.537 0.000 9.222
Cr 0.000 9.222 1.537
Cr -3.074 4.611 6.148
N 1.837 -0.448 0.586
N 7.385 3.659 -3.521
N 7.984 0.448 0.586
N 7.385 -2.488 3.521
N 5.700 -0.586 1.837
N 9.669 -1.237 2.488
N 0.586 1.837 -0.448
N 8.636 2.626 -1.237
N 3.659 3.521 -1.237
N 5.562 1.837 0.448
N -0.448 0.586 1.837
N 3.521 -1.237 3.659
N 5.700 5.562 -1.837
N 3.521 1.237 2.488
N 3.659 -3.521 7.385
N 5.562 -1.837 5.700
N 2.488 3.521 1.237
N 6.733 4.311 0.448
N 3.521 7.385 -2.488
N 5.700 0.586 4.311
N 1.837 5.700 -0.586
N 7.385 2.488 2.626
N 1.237 2.488 3.521
N 1.837 0.448 5.562
N 4.311 5.700 0.586
N 4.911 3.659 2.626
N -1.237 3.659 3.521
N 4.311 0.448 6.733
N 0.448 5.562 1.837
N 2.626 -1.237 8.636
N -0.586 1.837 5.700
N 3.659 2.626 4.911
N 0.586 7.984 0.448
N 2.488 9.669 -1.237
N 2.626 4.911 3.659
N 0.448 0.586 7.984
N 2.626 7.385 2.488
N 6.595 5.562 4.311
N 0.586 4.311 5.700
N 2.488 2.626 7.385
N -2.488 3.521 7.385
N 5.562 4.311 6.595
N -3.521 7.385 3.659
N 0.448 6.733 4.311
N -1.237 8.636 2.626
N -1.837 5.700 5.562
N -1.237 2.488 9.669
N 4.311 6.595 5.562

5
Lattice="4.695 0.000 0.000 0.000 4.695 0.000 0.000 0.000 5.399" Properties=species:S:1:pos:R:3 comment="PBE-GGA NbTlCu2As, relaxed" rho_g_cm3=6.97 sg="P4/mmm (123)" magnetic_moment_mub_per_fu=1.093 energy_ev_per_atom=-3.722 pbc="T T T"
Nb 0.000 0.000 0.000
Tl 0.000 0.000 2.699
Cu 0.000 2.347 2.699
Cu 2.347 0.000 2.699
As 2.347 2.347 0.000

6
Lattice="-1.299 1.930 7.866 1.299 -1.930 7.866 1.299 1.930 -7.866" Properties=species:S:1:pos:R:3 comment="PBE-GGA Fe2Ru, relaxed" rho_g_cm3=8.96 sg="Imma (74)" magnetic_moment_mub_per_fu=1.312 energy_ev_per_atom=-8.374 pbc="T T T"
Fe 0.000 0.965 0.607
Fe 0.000 0.965 2.982
Fe 1.299 0.965 4.884
Fe 1.299 0.965 7.258
Ru 1.299 0.965 -1.614
Ru 0.000 0.965 9.480

10
Lattice="7.084 -2.135 0.000 7.084 2.135 0.000 -5.153 0.000 9.110" Properties=species:S:1:pos:R:3 comment="PBE-GGA Pb5SeS4, relaxed" formation_energy_uncorrected_mev_per_atom=-540.7 relative_energy_ev_per_fu=0.00 rho_g_cm3=7.49 sg="C2/m (12)" magnetic_moment_mub_per_fu=0.000 energy_ev_per_atom=-4.394 pbc="T T T"
Pb 0.000 0.000 0.000
Pb -1.283 0.000 7.334
Pb 2.505 0.000 5.509
Pb 6.509 0.000 3.601
Pb 10.298 0.000 1.777
Se -2.577 0.000 4.555
S 1.326 0.000 2.706
S 5.176 0.000 0.929
S 3.839 0.000 8.182
S 7.689 0.000 6.404